--- P ---
# ZrAlP3

An optimized crystal structure of ZrAlP3 (PBE, the Alexandria database).

ρ: 3.65 g/cm3
Total magnetic moment: 0.00 μB/cell
D(E_F): 0.80 states/eV per atom

abc: 4.5816 4.5816 4.5816
angles: 90.00 90.00 90.00
Closest atoms and distances in Å follow each position.
Element x y z (fractional)
Zr 0.0000 0.0000 0.0000  12 P 3.24
Al 0.5000 0.5000 0.5000  6 P 2.29
P 0.0000 0.5000 0.5000  2 Al 2.29
P 0.5000 0.0000 0.5000  2 Al 2.29
P 0.5000 0.5000 0.0000  2 Al 2.29

--- Q ---
# ZrAlP3

An optimized crystal structure of ZrAlP3 (PBE, the Alexandria database).

ρ: 2.77 g/cm3
Total magnetic moment: 0.00 μB/cell
D(E_F): 1.24 states/eV per atom

abc: 5.0197 5.0197 5.0197
angles: 90.00 90.00 90.00
Closest atoms and distances in Å follow each position.
Element x y z (fractional)
Zr 0.0000 0.0000 0.0000  6 P 2.51
Al 0.5000 0.5000 0.5000  12 P 3.55
P 0.0000 0.0000 0.5000  2 Zr 2.51
P 0.0000 0.5000 0.0000  2 Zr 2.51
P 0.5000 0.0000 0.0000  2 Zr 2.51

Energies relative to the most stable structure are P 0.000; Q 0.101, reported in eV/atom.